# PBE LiTi2Zn2P2O10, optimized geometry
data_LiTi2Zn2P2O10
_space_group_name_H-M_alt 'P 1'
_space_group_IT_number 1
_cell_length_a 5.610
_cell_length_b 5.697
_cell_length_c 7.238
_cell_angle_alpha 109.16
_cell_angle_beta 108.76
_cell_angle_gamma 93.62
loop_
_space_group_symop_operation_xyz
'x,y,z'
loop_
_atom_site_label
_atom_site_fract_x
_atom_site_fract_y
_atom_site_fract_z
Li1 0.000 0.000 0.000
Ti1 0.080 0.526 0.768
Ti2 0.111 0.549 0.266
Zn1 0.411 0.236 0.499
Zn2 0.638 0.679 0.018
P1 0.490 0.177 0.028
P2 0.727 0.899 0.519
O1 0.183 0.463 0.522
O2 0.358 0.267 0.194
O3 0.390 0.885 0.917
O4 0.400 0.322 0.874
O5 0.424 0.857 0.426
O6 0.784 0.225 0.116
O7 0.790 0.198 0.612
O8 0.824 0.784 0.338
O9 0.832 0.793 0.691
O10 0.980 0.662 0.019
# - formation energy from raw total energies (meV per atom) = -2097
# - total energy (eV for the cell shown) = -116.3
# - energy above the lowest structure with this stoichiometry (eV per atom) = 0.006